# 1
Compound: Y2TaFe2
Source: Alexandria
Functional: PBE
Structure: optimized geometry

Structure (CIF):
```
data_Y2TaFe2
_chemical_formula_sum 'Y4 Ta2 Fe4'
_symmetry_space_group_name_H-M 'P 4/m b m'
_symmetry_Int_Tables_number 127
_symmetry_space_group_name_Hall '-P 4 2ab'
_cell_length_a 6.468
_cell_length_b 6.468
_cell_length_c 4.622
_cell_angle_alpha 90.00
_cell_angle_beta 90.00
_cell_angle_gamma 90.00
loop_
_atom_site_label
_atom_site_type_symbol
_atom_site_fract_x
_atom_site_fract_y
_atom_site_fract_z
Y1 Y 0.181 0.319 0.000
Ta1 Ta 0.000 0.000 0.500
Fe1 Fe 0.119 0.619 0.500
```


# 2
Compound: SmLu3Ir
Source: Alexandria
Functional: PBE
Structure: optimized geometry

Structure (CIF):
```
data_SmLu3Ir
_chemical_formula_sum 'Sm1 Lu3 Ir1'
_symmetry_space_group_name_H-M 'P m -3 m'
_symmetry_Int_Tables_number 221
_symmetry_space_group_name_Hall '-P 4 2 3'
_cell_length_a 5.333
_cell_length_b 5.333
_cell_length_c 5.333
_cell_angle_alpha 90.00
_cell_angle_beta 90.00
_cell_angle_gamma 90.00
loop_
_atom_site_label
_atom_site_type_symbol
_atom_site_fract_x
_atom_site_fract_y
_atom_site_fract_z
Sm1 Sm 0.000 0.000 0.000
Lu1 Lu 0.000 0.500 0.500
Ir1 Ir 0.500 0.500 0.500
```


# 3
Compound: LaGe2Pd2
Source: Alexandria
Functional: PBE
Structure: optimized geometry

Structure (CIF):
```
data_LaGe2Pd2
_chemical_formula_sum 'La2 Ge4 Pd4'
_symmetry_space_group_name_H-M 'I 4/m m m'
_symmetry_Int_Tables_number 139
_symmetry_space_group_name_Hall '-I 4 2'
_cell_length_a 4.496
_cell_length_b 4.496
_cell_length_c 10.039
_cell_angle_alpha 90.00
_cell_angle_beta 90.00
_cell_angle_gamma 90.00
loop_
_atom_site_label
_atom_site_type_symbol
_atom_site_fract_x
_atom_site_fract_y
_atom_site_fract_z
La1 La 0.000 0.000 0.000
Ge1 Ge 0.000 0.500 0.250
Pd1 Pd 0.000 0.000 0.366
```


Asked for uncorrected energy across the records above, the calculation gives -82.5 -28.9 -56.5 eV/cell in order.